1.
Density functional theory data (PBE) for a geometry-optimized LiPrCuGe structure.

The space group is F-43m (No. 216) and the conventional cell measures 6.881, 6.881 and 6.881 Å, with angles of 90.00, 90.00 and 90.00 degrees. Symmetry generates all atoms from Li at (0.000, 0.000, 0.000), Pr at (0.000, 0.000, 0.500), Cu at (0.250, 0.250, 0.250) and Ge at (0.250, 0.250, 0.750).

Its magnetic moment is 0.00 μB per formula unit. The calculation puts the total energy at -4.1869 eV/atom. The value obtained for the calculated formation energy is -0.335 eV/atom. Its crystal system is cubic.



2.
Density functional theory data (PBE) for a geometry-optimized YTiMn2Br structure.

The space group is P4/mmm (No. 123) and the conventional cell measures 5.212, 5.212 and 5.266 Å, with angles of 90.00, 90.00 and 90.00 degrees. Symmetry generates all atoms from Y at (0.000, 0.000, 0.000), Ti at (0.500, 0.500, 0.500), Mn at (0.000, 0.500, 0.000) and Br at (0.000, 0.000, 0.500).

Its magnetic moment is 4.58 μB per formula unit. The calculation puts the total energy at -5.6652 eV/atom. As for the formation energy without anion corrections: 1209 meV per atom. Its crystal system is tetragonal.



3.
Density functional theory data (PBE) for a geometry-optimized Ba3Ac2PmTe6 structure.

The space group is C2/m (No. 12) and the conventional cell measures 8.265, 14.299 and 8.430 Å, with angles of 90.00, 109.09 and 90.00 degrees. Symmetry generates all atoms from Ba at (0.000, 0.000, 0.000), Ba at (0.000, 0.330, 0.000), Ac at (0.000, 0.166, 0.500), Pm at (0.000, 0.500, 0.500), Te at (0.238, 0.338, 0.731) and Te at (0.245, 0.500, 0.266).

Its magnetic moment is 0.00 μB per formula unit. The calculation puts the total energy at -4.7428 eV/atom. As for the formation energy without anion corrections: -1611 meV per atom. Its crystal system is monoclinic.



4.
Density functional theory data (PBE) for a geometry-optimized Nd2Mg3Au4 structure.

The space group is Cmce (No. 64) and the conventional cell measures 6.160, 16.258 and 8.022 Å, with angles of 90.00, 90.00 and 90.00 degrees. Symmetry generates all atoms from Nd at (0.000, 0.108, 0.090), Mg at (0.000, 0.000, 0.500), Mg at (0.250, 0.221, 0.750), Au at (0.000, 0.180, 0.460) and Au at (0.250, 0.052, 0.750).

Its magnetic moment is 0.00 μB per formula unit. The calculation puts the total energy at -3.6839 eV/atom. The value obtained for the calculated formation energy is -0.636 eV/atom. Its crystal system is orthorhombic.



5.
Density functional theory data (PBE) for a geometry-optimized Ho4TmCd3 structure.

The space group is R-3m (No. 166, hexagonal axes) and the conventional cell measures 5.3099, 5.3099 and 26.6994 Å, with angles of 90.00, 90.00 and 120.00 degrees. Symmetry generates all atoms from Ho at (0.0000, 0.0000, 0.1154), Ho at (0.0000, 0.0000, 0.3706), Tm at (0.0000, 0.0000, 0.5000), Cd at (0.0000, 0.0000, 0.0000) and Cd at (0.0000, 0.0000, 0.2404).

Its magnetic moment is 0.00 μB per formula unit. The calculation puts the total energy at -3.3635 eV/atom. The value obtained for the calculated formation energy is -0.173 eV/atom. Its crystal system is trigonal.



6.
Density functional theory data (PBE) for a geometry-optimized CrSe3 structure.

The space group is R-3m (No. 166, hexagonal axes) and the conventional cell measures 3.1045, 3.1045 and 29.1524 Å, with angles of 90.00, 90.00 and 120.00 degrees. Symmetry generates all atoms from Cr at (0.0000, 0.0000, 0.0000), Se at (0.0000, 0.0000, 0.2773) and Se at (0.0000, 0.0000, 0.5000).

Its magnetic moment is 0.00 μB per formula unit. The calculation puts the total energy at -5.0884 eV/atom. As for the formation energy without anion corrections: -69 meV per atom. Its crystal system is trigonal.



7.
Density functional theory data (PBE) for a geometry-optimized Y2MgTe4 structure.

The space group is I4_1/amd (No. 141, origin choice 2) and the conventional cell measures 8.904, 8.904 and 12.584 Å, with angles of 90.00, 90.00 and 90.00 degrees. Symmetry generates all atoms from Y at (0.000, 0.000, 0.000), Mg at (0.000, 0.250, 0.375) and Te at (0.000, 0.009, 0.754).

Its magnetic moment is 0.00 μB per formula unit. As for the relative energy among the computed polymorphs: 0 meV per atom. The calculation puts the total energy at -5.1301 eV/atom. As for the formation energy without anion corrections: -1260 meV per atom. Its crystal system is tetragonal.



8.
Density functional theory data (PBE) for a geometry-optimized CdRuS2N structure.

The space group is P4/mmm (No. 123) and the conventional cell measures 4.983, 4.983 and 4.053 Å, with angles of 90.00, 90.00 and 90.00 degrees. Symmetry generates all atoms from Cd at (0.000, 0.000, 0.000), Ru at (0.500, 0.500, 0.500), S at (0.000, 0.500, 0.000) and N at (0.000, 0.000, 0.500).

Its magnetic moment is 3.60 μB per formula unit. As for the relative energy among the computed polymorphs: 1550 meV per atom. The calculation puts the total energy at -3.5070 eV/atom. As for the formation energy without anion corrections: 1847 meV per atom. Its crystal system is tetragonal.